No. 1
The following is a DFT calculation (PBE) of a relaxed Th4CoTe crystal.

## Properties
- V (Å³/atom) = 31.94
- crystal system = monoclinic
- N(E_F) (states/eV/f.u.) = 6.76
- E_form (uncorrected) (meV per atom) = -157
- electronic total energy (eV for the cell shown) = -81.73

a b c (Å): 5.8175 10.8994 6.1847
angles (deg): 90.00 102.19 90.00
Space group P2_1/m (No. 11)
Asymmetric unit:
Th 0.2056 0.2500 0.3735 x2
Th 0.2232 0.7500 0.2615 x2
Th 0.2761 0.5271 0.7071 x4
Co 0.3170 0.7500 0.7867 x2
Te 0.3140 0.2500 0.9029 x2



No. 2
The following is a DFT calculation (PBE) of a relaxed CdBr2Cl crystal.

## Properties
- V (Å³/atom) = 31.34
- crystal system = orthorhombic
- N(E_F) (states/eV/f.u.) = 3.01
- E_form (uncorrected) (meV per atom) = -364
- electronic total energy (eV for the cell shown) = -15.12

a b c (Å): 3.8340 5.3211 12.2904
angles (deg): 90.00 90.00 90.00
Space group Immm (No. 71)
Asymmetric unit:
Cd 0.0000 0.0000 0.0000 x2
Br 0.0000 0.5000 0.3415 x4
Cl 0.0000 0.0000 0.5000 x2



No. 3
The following is a DFT calculation (PBE) of a relaxed Nd2AlTe crystal.

## Properties
- V (Å³/atom) = 31.04
- crystal system = trigonal
- N(E_F) (states/eV/f.u.) = 2.16
- E_form (uncorrected) (meV per atom) = -810
- electronic total energy (eV for the cell shown) = -58.98

a b c (Å): 4.2502 4.2502 23.8131
angles (deg): 90.00 90.00 120.00
Space group R-3m (No. 166, hexagonal axes)
Asymmetric unit:
Nd 0.0000 0.0000 0.2486 x6
Al 0.0000 0.0000 0.5000 x3
Te 0.0000 0.0000 0.0000 x3



No. 4
The following is a DFT calculation (PBE) of a relaxed SrCa2Al4 crystal.

## Properties
- V (Å³/atom) = 27.17
- crystal system = orthorhombic
- E_form (eV per atom) = -0.2179
- N(E_F) (states/eV/f.u.) = 4.16
- electronic total energy (eV for the cell shown) = -44.36

a b c (Å): 4.1516 4.5784 20.0138
angles (deg): 90.00 90.00 90.00
Space group Immm (No. 71)
Asymmetric unit:
Sr 0.0000 0.0000 0.0000 x2
Ca 0.0000 0.5000 0.1916 x4
Al 0.0000 0.0000 0.4320 x4
Al 0.0000 0.5000 0.3604 x4



No. 5
The following is a DFT calculation (PBE) of a relaxed TlIrRh2 crystal.

## Properties
- V (Å³/atom) = 16.37
- crystal system = cubic
- E_form (eV per atom) = 0.4158
- N(E_F) (states/eV/f.u.) = 5.80
- electronic total energy (eV for the cell shown) = -97.07

a b c (Å): 6.3988 6.3988 6.3988
angles (deg): 90.00 90.00 90.00
Space group F-43m (No. 216)
Asymmetric unit:
Tl 0.0000 0.0000 0.0000 x4
Ir 0.2500 0.2500 0.7500 x4
Rh 0.0000 0.0000 0.5000 x4
Rh 0.2500 0.2500 0.2500 x4